<A>
Below is an optimized crystal structure of TcWS3, with properties calculated at the PBE level.

Properties
Calculated volume: 20.57 Å³ per atom
Symmetry: No. 221
Fermi-level density of states: 3.67 states/eV/cell

POSCAR file:
```
TcWS3
1.0
4.685 0.000 0.000
0.000 4.685 0.000
0.000 0.000 4.685
S Tc W
3 1 1
Direct
0.000 0.500 0.000
0.000 0.000 0.500
0.500 0.000 0.000
0.500 0.500 0.500
0.000 0.000 0.000
```


<B>
Below is an optimized crystal structure of TcWS3, with properties calculated at the PBE level.

Properties
Calculated volume: 18.47 Å³ per atom
Symmetry: No. 221
Fermi-level density of states: 9.02 states/eV/cell

POSCAR file:
```
TcWS3
1.0
-3.237 3.104 -0.567
-2.105 -1.520 3.701
2.350 2.914 2.533
Tc S W
1 3 1
Direct
0.000 0.000 0.000
0.000 0.500 0.000
0.500 0.000 0.000
0.000 0.000 0.500
0.500 0.500 0.500
```


So which one wins? Going from most stable to least: <A>, <B>.